Entry 1:
Ni3SbSe | GGA-PBE | relaxed

```
Ni3SbSe
1.0
4.4264 0.0000 0.0000
0.0000 4.4264 0.0000
0.0000 0.0000 4.4264
Sb Se Ni
1 1 3
Cartesian
2.2132 2.2132 2.2132
0.0000 0.0000 0.0000
0.0000 2.2132 0.0000
0.0000 0.0000 2.2132
2.2132 0.0000 0.0000
```

Results
As for the crystal system: cubic. The density of states at the Fermi level comes out at 4.857 states/eV/cell. For the raw formation energy, the calculation gives 0.308 eV/atom.



Entry 2:
KLi2As | GGA-PBE | relaxed

```
KLi2As
1.0
-2.5917 2.0253 1.4601
-1.0186 -2.7791 2.0469
5.2168 2.4278 5.8922
As K Li
1 1 2
Cartesian
2.1253 0.9891 2.4005
1.8152 1.3079 5.8425
0.4962 0.2309 0.5605
-0.2218 0.3600 3.5418
```

Results
As for the crystal system: tetragonal. The density of states at the Fermi level comes out at 2.522 states/eV/cell. Its calculated formation energy is -222 meV/atom.



Entry 3:
NbSb2AsI | GGA-PBE | relaxed

```
NbSb2AsI
1.0
-0.6256 -0.9326 5.3305
2.3725 -4.8700 -0.5736
4.8209 2.2359 0.9569
I Sb Nb As
1 2 1 1
Cartesian
2.4105 1.1180 0.4785
1.1863 -2.4350 -0.2868
-0.3128 -0.4663 2.6652
0.0000 0.0000 0.0000
3.2839 -1.7833 2.8569
```

Results
As for the crystal system: tetragonal. The density of states at the Fermi level comes out at 4.486 states/eV/cell. For the raw formation energy, the calculation gives 0.669 eV/atom.



Entry 4:
DyMgScRh | GGA-PBE | relaxed

```
DyMgScRh
1.0
-3.2122 0.1708 -1.1935
0.2357 -3.2419 -1.0982
-2.5673 -2.4104 6.5645
Dy Mg Sc Rh
1 1 1 1
Cartesian
-3.4953 -3.4200 3.9861
-0.2387 -0.2242 0.6105
-2.4141 -2.4048 1.2215
-1.4102 -1.3240 3.6058
```

Results
As for the crystal system: tetragonal. The density of states at the Fermi level comes out at 2.567 states/eV/cell. Its calculated formation energy is -506 meV/atom.



Entry 5:
CuB2ClF | GGA-PBE | relaxed

```
CuB2ClF
1.0
-2.1804 -2.6584 1.5812
1.8998 -3.2838 -2.9013
2.7021 -0.6956 2.5566
B F Cu Cl
2 1 1 1
Cartesian
1.3510 -0.3478 1.2783
-1.0902 -1.3292 0.7906
0.9499 -1.6419 -1.4507
1.2108 -3.3189 0.6182
0.0000 0.0000 0.0000
```

Results
As for the crystal system: tetragonal. The density of states at the Fermi level comes out at 4.433 states/eV/cell. For the raw formation energy, the calculation gives 1.584 eV/atom.